Record 1
## ZnCd2Rh (PBE)

Data for ZnCd2Rh after structural relaxation.

The structure in POSCAR format:
```
ZnCd2Rh
1.0
2.961 0.000 0.000
-1.481 2.565 0.000
0.000 0.000 28.676
Zn Cd Rh
3 6 3
Cartesian
0.000 0.000 0.000 Zn
0.000 1.710 19.117 Zn
1.481 0.855 9.559 Zn
0.000 0.000 7.026 Cd
0.000 0.000 21.649 Cd
0.000 1.710 12.091 Cd
0.000 1.710 26.143 Cd
1.481 0.855 2.532 Cd
1.481 0.855 16.585 Cd
0.000 0.000 14.338 Rh
0.000 1.710 4.779 Rh
1.481 0.855 23.896 Rh
```

symmetry: No. 166
E_tot: -2.527 eV per atom
E_form: 0.349 eV/f.u.

=====

Record 2
## CrRh2 (PBE)

Data for CrRh2 after structural relaxation.

The structure in POSCAR format:
```
CrRh2
1.0
5.669 0.000 0.000
0.000 5.669 0.000
0.000 0.000 5.669
Cr Rh
4 8
Cartesian
0.000 0.000 0.000 Cr
0.000 2.834 2.834 Cr
2.834 0.000 2.834 Cr
2.834 2.834 0.000 Cr
1.417 1.417 1.417 Rh
1.417 1.417 4.252 Rh
1.417 4.252 1.417 Rh
1.417 4.252 4.252 Rh
4.252 1.417 1.417 Rh
4.252 1.417 4.252 Rh
4.252 4.252 1.417 Rh
4.252 4.252 4.252 Rh
```

symmetry: No. 225
E_tot: -7.916 eV per atom
E_form: 0.580 eV/f.u.

=====

Record 3
## Ba2PaAu2Se6 (PBE)

Data for Ba2PaAu2Se6 after structural relaxation.

The structure in POSCAR format:
```
Ba2PaAu2Se6
1.0
3.979 2.297 6.486
-3.979 2.297 6.486
0.000 -4.595 6.486
Ba Pa Au Se
2 1 2 6
Cartesian
0.000 0.000 4.467 Ba
0.000 0.000 14.990 Ba
0.000 0.000 0.000 Pa
0.000 0.000 8.107 Au
0.000 0.000 11.350 Au
-2.163 -1.249 11.191 Se
0.000 -2.497 8.267 Se
-2.163 1.249 8.267 Se
2.163 -1.249 11.191 Se
0.000 2.497 11.191 Se
2.163 1.249 8.267 Se
```

symmetry: No. 166
formation energy without anion corrections: -1028 meV/atom
E_tot: -4.738 eV per atom

=====

Record 4
## Ti5In2Fe2Rh (PBE)

Data for Ti5In2Fe2Rh after structural relaxation.

The structure in POSCAR format:
```
Ti5In2Fe2Rh
1.0
10.419 0.000 0.000
0.000 10.419 0.000
0.000 0.000 3.015
Ti In Fe Rh
10 4 4 2
Cartesian
0.000 5.210 0.000 Ti
0.703 2.103 0.000 Ti
2.103 9.716 0.000 Ti
3.107 4.507 0.000 Ti
4.507 7.313 0.000 Ti
5.210 0.000 0.000 Ti
5.913 3.107 0.000 Ti
7.313 5.913 0.000 Ti
8.317 0.703 0.000 Ti
9.716 8.317 0.000 Ti
1.813 7.023 1.507 In
3.397 1.813 1.507 In
7.023 8.606 1.507 In
8.606 3.397 1.507 In
1.371 3.839 1.507 Fe
3.839 9.048 1.507 Fe
6.581 1.371 1.507 Fe
9.048 6.581 1.507 Fe
0.000 0.000 1.507 Rh
5.210 5.210 1.507 Rh
```

symmetry: No. 127
E_tot: -7.218 eV per atom
E_form: -2.949 eV/f.u.

=====

Record 5
## La3Th3MoN8 (PBE)

Data for La3Th3MoN8 after structural relaxation.

The structure in POSCAR format:
```
La3Th3MoN8
1.0
3.555 2.052 5.949
-3.555 2.052 5.949
0.000 -4.105 5.949
La Th Mo N
3 3 1 8
Cartesian
-1.777 -1.026 5.949 La
-1.777 1.026 11.898 La
0.000 2.052 5.949 La
-3.555 0.000 8.924 Th
-1.777 1.026 2.975 Th
1.777 1.026 2.975 Th
0.000 0.000 8.924 Mo
0.000 0.000 4.355 N
-1.552 -0.896 10.109 N
0.000 -1.792 7.738 N
-1.552 0.896 7.738 N
1.552 -0.896 10.109 N
0.000 1.792 10.109 N
1.552 0.896 7.738 N
0.000 0.000 13.493 N
```

symmetry: No. 166
formation energy without anion corrections: -1214 meV/atom
E_tot: -8.845 eV per atom

=====

Record 6
## KYHf (PBE)

Data for KYHf after structural relaxation.

The structure in POSCAR format:
```
KYHf
1.0
3.386 0.000 0.000
0.000 5.330 0.000
-1.629 0.000 12.671
K Y Hf
2 2 2
Cartesian
0.000 0.000 0.000 K
0.068 2.665 9.335 K
-0.013 2.665 5.647 Y
1.683 2.665 2.639 Y
-0.008 0.000 3.960 Hf
1.684 0.000 6.485 Hf
```

symmetry: No. 6
E above lowest polymorph: 88.8 meV per atom
E_tot: -5.437 eV per atom
E_form: 1.203 eV/f.u.

=====

Record 7
## PmY3Rh3 (PBE)

Data for PmY3Rh3 after structural relaxation.

The structure in POSCAR format:
```
PmY3Rh3
1.0
4.725 -5.120 0.000
4.725 5.120 0.000
-0.037 0.000 6.884
Pm Y Rh
2 6 6
Cartesian
2.310 0.000 2.757 Pm
7.103 0.000 4.127 Pm
1.726 0.000 6.239 Y
4.707 2.525 3.442 Y
4.725 1.919 0.000 Y
4.725 -1.919 0.000 Y
4.707 -2.525 3.442 Y
7.687 0.000 0.645 Y
2.348 2.534 5.270 Rh
4.224 0.000 4.860 Rh
2.348 -2.534 5.270 Rh
7.065 2.534 1.614 Rh
5.190 0.000 2.024 Rh
7.065 -2.534 1.614 Rh
```

symmetry: No. 12
E_tot: -7.241 eV per atom
E_form: -4.492 eV/f.u.

=====

Record 8
## Ce2GaSi3Au4 (PBE)

Data for Ce2GaSi3Au4 after structural relaxation.

The structure in POSCAR format:
```
Ce2GaSi3Au4
1.0
4.366 0.000 0.000
0.000 4.366 0.000
0.000 0.000 10.358
Ce Ga Si Au
2 1 3 4
Cartesian
0.000 2.183 2.568 Ce
2.183 0.000 7.790 Ce
0.000 0.000 5.179 Ga
0.000 2.183 8.985 Si
2.183 0.000 1.374 Si
2.183 2.183 5.179 Si
0.000 0.000 0.000 Au
0.000 2.183 6.557 Au
2.183 0.000 3.802 Au
2.183 2.183 0.000 Au
```

symmetry: No. 115
formation energy without anion corrections: -572 meV/atom
E_tot: -4.999 eV per atom